SbIrNF2: optimized geometry, PBEsol.

Unit cell a=4.1471 b=4.1471 c=4.2920 alpha=90.00 beta=90.00 gamma=90.00
Atoms (fractional coordinates):
1 Sb 0.0000 0.0000 0.0000
2 N 0.0000 0.0000 0.5000
3 Ir 0.5000 0.5000 0.5000
4 F 0.0000 0.5000 0.0000
5 F 0.5000 0.0000 0.0000

Polymorph energy (0 for the lowest one): 656.1 meV/atom
SG: P4/mmm
Density of states at the Fermi level: 7.60 states/eV/cell

=====

ScIrN2F: optimized geometry, PBEsol.

Unit cell a=3.8472 b=3.8472 c=4.1441 alpha=90.00 beta=90.00 gamma=90.00
Atoms (fractional coordinates):
1 Sc 0.5000 0.5000 0.5000
2 N 0.0000 0.5000 0.0000
3 N 0.5000 0.0000 0.0000
4 Ir 0.0000 0.0000 0.0000
5 F 0.0000 0.0000 0.5000

SG: P4/mmm
Density of states at the Fermi level: 3.15 states/eV/cell
Electronic total energy: -7.271 eV/atom

=====

ZrIrN2F: optimized geometry, PBEsol.

Unit cell a=3.8713 b=4.2068 c=4.2068 alpha=90.00 beta=90.00 gamma=90.00
Atoms (fractional coordinates):
1 N 0.0000 0.0000 0.5000
2 N 0.0000 0.5000 0.0000
3 Ir 0.5000 0.5000 0.5000
4 Zr 0.0000 0.0000 0.0000
5 F 0.5000 0.0000 0.0000

SG: P4/mmm
Density of states at the Fermi level: 6.41 states/eV/cell
Electronic total energy: -7.304 eV/atom

=====

RbNbIr2F: optimized geometry, PBEsol.

Unit cell a=4.0183 b=4.7983 c=4.7983 alpha=90.00 beta=90.00 gamma=90.00
Atoms (fractional coordinates):
1 Nb 0.5000 0.0000 0.0000
2 Ir 0.0000 0.0000 0.5000
3 Ir 0.0000 0.5000 0.0000
4 Rb 0.5000 0.5000 0.5000
5 F 0.0000 0.0000 0.0000

SG: P4/mmm
Density of states at the Fermi level: 6.52 states/eV/cell
Electronic total energy: -5.438 eV/atom